# 1
## Ho8InCu2 (PBE)

Data for crystalline Ho8InCu2 at its relaxed geometry.

Values from the calculation:
The symmetry is No. 12. For the magnetic moment, the calculation gives 0.7 μB per formula unit. The formation energy comes out at -0.08 eV/atom. The calculated density comes out at 8.64 g/cm³.

Lattice parameters (Å, degrees): 8.0418 8.0418 5.3175 98.74 98.74 114.62
Closest atoms and distances in Å follow each position.
Atoms (fractional coordinates):
Ho  0.0811  0.3304  0.5872  2 Cu 2.87-3.01
Ho  0.2412  0.7588  0.0000  2 Cu 2.81
Ho  0.3304  0.0811  0.5872  2 Cu 2.87-3.01
Ho  0.3935  0.3935  0.1954  2 Cu 3.07, 4 Ho 3.15-3.43, 1 In 3.28
Ho  0.6065  0.6065  0.8046  2 Cu 3.07, 4 Ho 3.15-3.43, 1 In 3.28
Ho  0.6696  0.9189  0.4128  2 Cu 2.87-3.01
Ho  0.7588  0.2412  0.0000  2 Cu 2.81
Ho  0.9189  0.6696  0.4128  2 Cu 2.87-3.01
In  0.0000  0.0000  0.0000  12 Ho 3.27-3.61
Cu  0.3076  0.6924  0.5000  8 Ho 2.81-3.07
Cu  0.6924  0.3076  0.5000  8 Ho 2.81-3.07



# 2
## SCl2O (PBE)

Data for crystalline SCl2O at its relaxed geometry.

Values from the calculation:
The symmetry is No. 225. For the magnetic moment, the calculation gives 0.0 μB per formula unit. Its energy relative to the lowest polymorph listed for this composition is 1909 meV/atom. The calculated density comes out at 3.30 g/cm³. The uncorrected formation energy is 1.321 eV per atom.

Lattice parameters (Å, degrees): 4.3890 4.3890 4.3890 60.00 60.00 60.00
Closest atoms and distances in Å follow each position.
Atoms (fractional coordinates):
S  0.0000  0.0000  0.0000  8 Cl 2.69
Cl  0.2500  0.2500  0.2500  4 O 2.69, 4 S 2.69
Cl  0.7500  0.7500  0.7500  4 O 2.69, 4 S 2.69
O  0.5000  0.5000  0.5000  8 Cl 2.69



# 3
## Hg2Br3 (PBE)

Data for crystalline Hg2Br3 at its relaxed geometry.

Values from the calculation:
The symmetry is No. 167. For the magnetic moment, the calculation gives 0.0 μB per formula unit. Its energy relative to the lowest polymorph listed for this composition is 0 meV/atom. The calculated density comes out at 6.59 g/cm³. The uncorrected formation energy is -0.261 eV per atom.

Lattice parameters (Å, degrees): 8.0925 8.0925 8.0925 54.06 54.06 54.06
Closest atoms and distances in Å follow each position.
Atoms (fractional coordinates):
Hg  0.1538  0.1538  0.1538  6 Br 2.91-3.06
Hg  0.3462  0.3462  0.3462  6 Br 2.91-3.06
Hg  0.6538  0.6538  0.6538  6 Br 2.91-3.06
Hg  0.8462  0.8462  0.8462  6 Br 2.91-3.06
Br  0.0662  0.7500  0.4338  4 Hg 2.91-3.06
Br  0.2500  0.5662  0.9338  4 Hg 2.91-3.06
Br  0.4338  0.0662  0.7500  4 Hg 2.91-3.06
Br  0.5662  0.9338  0.2500  4 Hg 2.91-3.06
Br  0.7500  0.4338  0.0662  4 Hg 2.91-3.06
Br  0.9338  0.2500  0.5662  4 Hg 2.91-3.06



# 4
## Rb5Tb2F12 (PBE)

Data for crystalline Rb5Tb2F12 at its relaxed geometry.

Values from the calculation:
The symmetry is No. 12. For the magnetic moment, the calculation gives 1.3 μB per formula unit. The calculated density comes out at 4.14 g/cm³. The uncorrected formation energy is -3.169 eV per atom.

Lattice parameters (Å, degrees): 8.0848 8.0848 6.8853 96.61 96.61 61.07
Closest atoms and distances in Å follow each position.
Atoms (fractional coordinates):
Rb  0.0000  0.0000  0.0000  6 F 2.76-2.84
Rb  0.2401  0.2401  0.4727  5 F 2.80-2.82
Rb  0.3606  0.3606  0.9781  3 F 2.73-2.78
Rb  0.6394  0.6394  0.0219  3 F 2.73-2.78
Rb  0.7599  0.7599  0.5273  5 F 2.80-2.82
Tb  0.2602  0.7398  0.5000  8 F 2.25-2.42
Tb  0.7398  0.2602  0.5000  8 F 2.25-2.42
F  0.0619  0.0619  0.6240  1 F 2.26, 2 Tb 2.42
F  0.1063  0.6947  0.7257  1 Tb 2.26
F  0.1590  0.5668  0.2921  1 Tb 2.25
F  0.3053  0.8937  0.2743  1 Tb 2.26
F  0.4332  0.8410  0.7079  1 Tb 2.25
F  0.4655  0.4655  0.6614  2 Tb 2.34, 1 F 2.54
F  0.5345  0.5345  0.3386  2 Tb 2.34, 1 F 2.54
F  0.5668  0.1590  0.2921  1 Tb 2.25
F  0.6947  0.1063  0.7257  1 Tb 2.26
F  0.8410  0.4332  0.7079  1 Tb 2.25
F  0.8937  0.3053  0.2743  1 Tb 2.26
F  0.9381  0.9381  0.3760  1 F 2.26, 2 Tb 2.42



# 5
## Co5Ni2Rh (PBE)

Data for crystalline Co5Ni2Rh at its relaxed geometry.

Values from the calculation:
The symmetry is No. 55. For the magnetic moment, the calculation gives 11.2 μB per formula unit. The formation energy comes out at 0.02 eV/atom. Its energy relative to the lowest polymorph listed for this composition is 22 meV/atom. The calculated density comes out at 9.31 g/cm³.

Lattice parameters (Å, degrees): 5.0728 10.1182 3.5794 90.00 90.00 90.00
Closest atoms and distances in Å follow each position.
Atoms (fractional coordinates):
Co  0.0000  0.0000  0.0000  6 Co 2.49-2.53, 4 Ni 2.53, 2 Rh 2.54
Co  0.0014  0.2464  0.0000  7 Co 2.48-2.56, 4 Ni 2.49-2.54, 1 Rh 2.57
Co  0.2427  0.1284  0.5000  4 Ni 2.47-2.60, 6 Co 2.48-2.56, 2 Rh 2.57
Co  0.2573  0.6284  0.5000  4 Ni 2.47-2.60, 6 Co 2.48-2.56, 2 Rh 2.57
Co  0.4986  0.7464  0.0000  7 Co 2.48-2.56, 4 Ni 2.49-2.54, 1 Rh 2.57
Co  0.5000  0.5000  0.0000  6 Co 2.49-2.53, 4 Ni 2.53, 2 Rh 2.54
Co  0.5014  0.2536  0.0000  7 Co 2.48-2.56, 4 Ni 2.49-2.54, 1 Rh 2.57
Co  0.7427  0.3716  0.5000  4 Ni 2.47-2.60, 6 Co 2.48-2.56, 2 Rh 2.57
Co  0.7573  0.8716  0.5000  4 Ni 2.47-2.60, 6 Co 2.48-2.56, 2 Rh 2.57
Co  0.9986  0.7536  0.0000  7 Co 2.48-2.56, 4 Ni 2.49-2.54, 1 Rh 2.57
Ni  0.2452  0.8722  0.5000  10 Co 2.47-2.60, 2 Rh 2.56
Ni  0.2548  0.3722  0.5000  10 Co 2.47-2.60, 2 Rh 2.56
Ni  0.7452  0.6278  0.5000  10 Co 2.47-2.60, 2 Rh 2.56
Ni  0.7548  0.1278  0.5000  10 Co 2.47-2.60, 2 Rh 2.56
Rh  0.0000  0.5000  0.0000  8 Co 2.54-2.57, 4 Ni 2.56
Rh  0.5000  0.0000  0.0000  8 Co 2.54-2.57, 4 Ni 2.56



# 6
## KCaCd2Pd (PBE)

Data for crystalline KCaCd2Pd at its relaxed geometry.

Values from the calculation:
The symmetry is No. 123. For the magnetic moment, the calculation gives 0.0 μB per formula unit. The formation energy comes out at -0.25 eV/atom. The calculated density comes out at 4.34 g/cm³.

Lattice parameters (Å, degrees): 5.4243 5.4243 5.3391 90.00 90.00 90.00
Closest atoms and distances in Å follow each position.
Atoms (fractional coordinates):
K  0.0000  0.0000  0.0000  8 Cd 3.81, 4 Ca 3.84
Ca  0.5000  0.5000  0.0000  2 Pd 2.67
Cd  0.0000  0.5000  0.5000  2 Pd 2.71
Cd  0.5000  0.0000  0.5000  2 Pd 2.71
Pd  0.5000  0.5000  0.5000  2 Ca 2.67, 4 Cd 2.71



# 7
## Na2MgTl3Cl6 (PBE)

Data for crystalline Na2MgTl3Cl6 at its relaxed geometry.

Values from the calculation:
The symmetry is No. 12. For the magnetic moment, the calculation gives 0.0 μB per formula unit. The calculated density comes out at 4.62 g/cm³. The uncorrected formation energy is -1.333 eV per atom.

Lattice parameters (Å, degrees): 6.8023 6.8023 8.4584 98.84 98.84 120.05
Closest atoms and distances in Å follow each position.
Atoms (fractional coordinates):
Na  0.1668  0.8332  0.0000  6 Cl 2.79-2.80
Na  0.8332  0.1668  0.0000  6 Cl 2.79-2.80
Mg  0.5000  0.5000  0.0000  6 Cl 2.54
Tl  0.0000  0.0000  0.5000  6 Cl 3.29-3.66
Tl  0.3348  0.6652  0.5000  6 Cl 3.29-3.50
Tl  0.6652  0.3348  0.5000  6 Cl 3.29-3.50
Cl  0.1255  0.4302  0.8164  1 Mg 2.54, 2 Na 2.79-2.80
Cl  0.2668  0.2668  0.1840  1 Mg 2.54, 2 Na 2.80
Cl  0.4302  0.1255  0.8164  1 Mg 2.54, 2 Na 2.79-2.80
Cl  0.5698  0.8745  0.1836  1 Mg 2.54, 2 Na 2.79-2.80
Cl  0.7332  0.7332  0.8160  1 Mg 2.54, 2 Na 2.80
Cl  0.8745  0.5698  0.1836  1 Mg 2.54, 2 Na 2.79-2.80



# 8
## K4AsPt (PBE)

Data for crystalline K4AsPt at its relaxed geometry.

Values from the calculation:
The symmetry is No. 216. For the magnetic moment, the calculation gives 0.0 μB per formula unit. The formation energy comes out at 0.47 eV/atom. The calculated density comes out at 3.97 g/cm³.

Lattice parameters (Å, degrees): 6.3202 6.3202 6.3202 60.00 60.00 60.00
Closest atoms and distances in Å follow each position.
Atoms (fractional coordinates):
K  0.1249  0.1249  0.1249  6 K 3.16
K  0.1249  0.1249  0.6254  6 K 3.16
K  0.1249  0.6254  0.1249  6 K 3.16
K  0.6254  0.1249  0.1249  6 K 3.16
As  0.5000  0.5000  0.5000  12 K 3.71, 4 Pt 3.87
Pt  0.7500  0.7500  0.7500  12 K 3.71, 4 As 3.87



# 9
## SrNd3Rh2 (PBE)

Data for crystalline SrNd3Rh2 at its relaxed geometry.

Values from the calculation:
The symmetry is No. 12. For the magnetic moment, the calculation gives 0.0 μB per formula unit. The formation energy comes out at -0.33 eV/atom. The calculated density comes out at 6.43 g/cm³.

Lattice parameters (Å, degrees): 8.4497 8.4497 9.1721 107.52 107.52 37.15
Closest atoms and distances in Å follow each position.
Atoms (fractional coordinates):
Sr  0.1353  0.1353  0.0172  1 Rh 3.19
Sr  0.8647  0.8647  0.9828  1 Rh 3.19
Nd  0.0476  0.0476  0.3391  4 Rh 2.87-3.14
Nd  0.3003  0.3003  0.6457  2 Rh 2.76-2.78
Nd  0.3939  0.3939  0.3104  3 Rh 2.74-2.94
Nd  0.6061  0.6061  0.6896  3 Rh 2.74-2.94
Nd  0.6997  0.6997  0.3543  2 Rh 2.76-2.78
Nd  0.9524  0.9524  0.6609  4 Rh 2.87-3.14
Rh  0.1328  0.1328  0.6683  5 Nd 2.74-2.89
Rh  0.4720  0.4720  0.8462  1 Rh 2.68, 2 Nd 2.78-2.94
Rh  0.5280  0.5280  0.1538  1 Rh 2.68, 2 Nd 2.78-2.94
Rh  0.8672  0.8672  0.3317  5 Nd 2.74-2.89



# 10
## AcDyYCd (PBE)

Data for crystalline AcDyYCd at its relaxed geometry.

Values from the calculation:
The symmetry is No. 216. For the magnetic moment, the calculation gives 0.4 μB per formula unit. The formation energy comes out at 0.00 eV/atom. Its energy relative to the lowest polymorph listed for this composition is 0 meV/atom. The calculated density comes out at 7.62 g/cm³.

Lattice parameters (Å, degrees): 5.6689 5.6689 5.6689 60.00 60.00 60.00
Closest atoms and distances in Å follow each position.
Atoms (fractional coordinates):
Ac  0.0000  0.0000  0.0000  4 Cd 3.47, 4 Dy 3.47
Dy  0.2500  0.2500  0.2500  4 Ac 3.47, 4 Y 3.47
Y  0.5000  0.5000  0.5000  4 Cd 3.47, 4 Dy 3.47
Cd  0.7500  0.7500  0.7500  4 Ac 3.47, 4 Y 3.47



# 11
## SrLa2Pb (PBE)

Data for crystalline SrLa2Pb at its relaxed geometry.

Values from the calculation:
The symmetry is No. 166. For the magnetic moment, the calculation gives 1.2 μB per formula unit. The formation energy comes out at -0.07 eV/atom. The calculated density comes out at 5.84 g/cm³.

Lattice parameters (Å, degrees): 11.9189 11.9189 11.9189 19.36 19.36 19.36
Closest atoms and distances in Å follow each position.
Atoms (fractional coordinates):
Sr  0.0000  0.0000  0.0000  6 Sr 4.01, 6 La 4.13
La  0.2356  0.2356  0.2356  3 Pb 3.35
La  0.7644  0.7644  0.7644  3 Pb 3.35
Pb  0.5000  0.5000  0.5000  6 La 3.35



# 12
## ReTcN2 (PBE)

Data for crystalline ReTcN2 at its relaxed geometry.

Values from the calculation:
The symmetry is No. 160. For the magnetic moment, the calculation gives 0.0 μB per formula unit. Its energy relative to the lowest polymorph listed for this composition is 151 meV/atom. The calculated density comes out at 12.23 g/cm³. The uncorrected formation energy is 0.430 eV per atom.

Lattice parameters (Å, degrees): 6.5245 6.5245 6.5245 24.62 24.62 24.62
Closest atoms and distances in Å follow each position.
Atoms (fractional coordinates):
Re  0.0000  0.0000  0.0000  6 N 2.06-2.31
Tc  0.8449  0.8449  0.8449  3 N 2.06
N  0.4016  0.4016  0.4016  3 Re 2.06
N  0.5794  0.5794  0.5794  3 Tc 2.06